Sr2Cd3Si2 | Alexandria | PBE | optimized geometry; energy relative to the elements, uncorrected = -256 meV/atom; magnetic moment = 0.00 μB per formula unit; space group = No. 65
1.0
3.892 0.000 0.000
0.000 21.274 0.000
0.000 0.000 4.524
Sr Cd Si
4 6 4
direct
0.000 0.166 0.000
0.000 0.834 0.000
0.500 0.334 0.000
0.500 0.666 0.000
0.000 0.000 0.000
0.000 0.431 0.500
0.000 0.569 0.500
0.500 0.069 0.500
0.500 0.500 0.000
0.500 0.931 0.500
0.000 0.283 0.500
0.000 0.717 0.500
0.500 0.217 0.500
0.500 0.783 0.500